Below is an optimized crystal structure of Si2NiHRu, with properties calculated at the PBE-GGA level.

The total energy comes out at -23.5 eV/cell.

The structure belongs to space group P4/mmm (No. 123); the cell edges are 4.136, 4.136 and 4.885 Å and the angles 90.00°, 90.00° and 90.00°. The asymmetric unit holds Si at (0.000, 0.500, 0.000), Ni at (0.000, 0.000, 0.000), H at (0.500, 0.500, 0.500) and Ru at (0.000, 0.000, 0.500).